1.
Density functional theory data (PBE-GGA) for a geometry-optimized ZrAlTl2 structure.

Lattice parameters (Å, degrees): 5.153 5.153 5.153 60.00 60.00 60.00
Fractional positions:
Al (0.500, 0.500, 0.500)
Tl (0.000, 0.000, 0.000)
Tl (0.750, 0.750, 0.750)
Zr (0.250, 0.250, 0.250)

Output
E = -3.882 eV/atom
total magnetization = 0.001 μB/f.u.
energy of formation = 0.37 eV per atom

***

2.
Density functional theory data (PBE-GGA) for a geometry-optimized Zr5Al2Tl2 structure.

Lattice parameters (Å, degrees): 7.407 7.428 8.235 116.81 90.00 90.00
Fractional positions:
Zr (0.678, 0.056, 0.750)
Zr (0.822, 0.806, 0.250)
Zr (0.322, 0.694, 0.750)
Zr (0.178, 0.444, 0.250)
Zr (0.500, 0.500, 0.000)
Zr (0.000, 0.000, 0.000)
Zr (0.822, 0.556, 0.750)
Zr (0.322, 0.944, 0.250)
Zr (0.178, 0.194, 0.750)
Zr (0.678, 0.306, 0.250)
Tl (0.000, 0.782, 0.564)
Tl (0.000, 0.218, 0.436)
Tl (0.500, 0.718, 0.436)
Tl (0.500, 0.282, 0.564)
Al (0.377, 0.122, 0.000)
Al (0.877, 0.378, 0.000)
Al (0.123, 0.622, 0.000)
Al (0.623, 0.878, 0.000)

Output
E = -6.321 eV/atom
total magnetization = 0.000 μB/f.u.
energy of formation = -0.21 eV per atom

***

3.
Density functional theory data (PBE-GGA) for a geometry-optimized ZrAl4Tl structure.

Lattice parameters (Å, degrees): 5.450 5.450 5.450 60.00 60.00 60.00
Fractional positions:
Zr (0.000, 0.000, 0.000)
Al (0.375, 0.375, 0.375)
Al (0.875, 0.375, 0.375)
Al (0.375, 0.375, 0.875)
Al (0.375, 0.875, 0.375)
Tl (0.750, 0.750, 0.750)

Output
E = -4.393 eV/atom
total magnetization = 0.000 μB/f.u.
energy of formation = -0.08 eV per atom